1.
The following is a DFT calculation (GGA-PBE) of a relaxed structure of Tc2AgIr.

V (Å³/f.u.): 60
Energy relative to the elements (meV/atom): 401
DOS(E_F) (states/eV/cell): 9.145

abc: 3.818 3.818 8.280
angles: 90.00 90.00 90.00
Space group I4/mmm (No. 139)
Symmetry-distinct sites (fractional):
Tc 0.000 0.500 0.250 x4
Ag 0.000 0.000 0.000 x2
Ir 0.000 0.000 0.500 x2

2.
The following is a DFT calculation (GGA-PBE) of a relaxed structure of NbAlHgAs2.

V (Å³/f.u.): 112
Energy relative to the elements (meV/atom): 917
DOS(E_F) (states/eV/cell): 6.831

abc: 4.737 4.737 4.999
angles: 90.00 90.00 90.00
Space group P4/mmm (No. 123)
Symmetry-distinct sites (fractional):
Nb 0.000 0.000 0.000 x1
Al 0.500 0.500 0.500 x1
Hg 0.500 0.500 0.000 x1
As 0.000 0.500 0.500 x2